KGeTe2 after structural relaxation. Source: Alexandria via LeMat-Bulk, functional PBE.

Geometry as CIF:
```
data_KGeTe2
_chemical_formula_sum 'K1 Ge1 Te2'
_symmetry_space_group_name_H-M 'P 1'
_symmetry_Int_Tables_number 1
_symmetry_space_group_name_Hall 'P 1'
_cell_length_a 4.278
_cell_length_b 4.842
_cell_length_c 7.758
_cell_angle_alpha 108.30
_cell_angle_beta 106.03
_cell_angle_gamma 89.99
loop_
_atom_site_label
_atom_site_type_symbol
_atom_site_fract_x
_atom_site_fract_y
_atom_site_fract_z
_atom_site_occupancy
K1 K 0.223 0.883 0.233 1
Ge1 Ge 0.482 0.642 0.749 1
Te1 Te 0.860 0.519 0.505 1
Te2 Te 0.570 0.230 0.925 1
```

Computed properties:
* uncorrected formation energy: -401 meV/atom